Record 1
Below is a relaxed structure of GdDy2AgHg3Au2, with properties calculated at the PBE level.

The structure belongs to space group Amm2 (No. 38); the cell edges are 3.7544, 13.8468 and 7.9791 Å and the angles 90.00°, 90.00° and 90.00°. The asymmetric unit holds Gd at (0.0000, 0.0000, 0.0000), Dy at (0.0000, 0.2017, 0.3955), Ag at (0.0000, 0.0000, 0.5966), Hg at (0.5000, 0.0000, 0.3265), Hg at (0.5000, 0.1353, 0.7325) and Au at (0.5000, 0.1676, 0.0978).


Record 2
Below is a relaxed structure of Cu2Sn2Ge3, with properties calculated at the PBE level.

The structure belongs to space group R3m (No. 160, hexagonal axes); the cell edges are 4.7188, 4.7188 and 22.4052 Å and the angles 90.00°, 90.00° and 120.00°. The asymmetric unit holds Cu at (0.0000, 0.0000, 0.0000), Cu at (0.0000, 0.0000, 0.4950), Sn at (0.0000, 0.0000, 0.2360), Sn at (0.0000, 0.0000, 0.7536), Ge at (0.0000, 0.0000, 0.3749), Ge at (0.0000, 0.0000, 0.6257) and Ge at (0.0000, 0.0000, 0.8757).


Record 3
Below is a relaxed structure of DyEr2Al3CuSn2, with properties calculated at the PBE level.

The structure belongs to space group Amm2 (No. 38); the cell edges are 4.2553, 12.6136 and 7.2594 Å and the angles 90.00°, 90.00° and 90.00°. The asymmetric unit holds Dy at (0.0000, 0.0000, 0.0000), Er at (0.0000, 0.1932, 0.4202), Al at (0.5000, 0.0000, 0.3884), Al at (0.5000, 0.1115, 0.7243), Cu at (0.0000, 0.0000, 0.6101) and Sn at (0.5000, 0.1677, 0.1133).


Record 4
Below is a relaxed structure of ZnTeNO, with properties calculated at the PBE level.

The excess energy over the best structure of this formula in the dataset comes out at 0.042 eV/atom.

The structure belongs to space group Pmc2_1 (No. 26); the cell edges are 3.5606, 6.4951 and 5.1702 Å and the angles 90.00°, 90.00° and 90.00°. The asymmetric unit holds Zn at (0.0000, 0.1151, 0.0000), Te at (0.5000, 0.3419, 0.4866), N at (0.0000, 0.1879, 0.3823) and O at (0.5000, 0.1826, 0.8276).


Record 5
Below is a relaxed structure of AlSbIrAu, with properties calculated at the PBE level.

The excess energy over the best structure of this formula in the dataset comes out at 0.000 eV/atom.

The structure belongs to space group F-43m (No. 216); the cell edges are 6.5863, 6.5863 and 6.5863 Å and the angles 90.00°, 90.00° and 90.00°. The asymmetric unit holds Al at (0.0000, 0.0000, 0.0000), Sb at (0.0000, 0.0000, 0.5000), Ir at (0.2500, 0.2500, 0.7500) and Au at (0.2500, 0.2500, 0.2500).


Record 6
Below is a relaxed structure of TbErH2O4, with properties calculated at the PBE level.

The structure belongs to space group Pm (No. 6); the cell edges are 4.2888, 3.5929 and 5.9207 Å and the angles 90.00°, 109.54° and 90.00°. The asymmetric unit holds Tb at (0.0000, 0.0000, 0.0000), Er at (0.3290, 0.5000, 0.6192), H at (0.6566, 0.0000, 0.4060), H at (0.6758, 0.5000, 0.2238), O at (0.4193, 0.0000, 0.3770), O at (0.4305, 0.0000, 0.8598), O at (0.8948, 0.5000, 0.7521) and O at (0.9121, 0.5000, 0.2492).


It is found that the energy values, taken in the order of the records, are -3.266; -3.836; -4.616; -4.543; -4.944; -7.130 eV/atom.